The following is a DFT calculation (PBE-GGA) of a geometry-optimized Sr2CaCl structure.

Formation energy (no corrections): -0.716 eV per atom
Symmetry: No. 123
Size of the total moment: 0.000 μB/f.u.
DOS(E_F): 2.68 states/eV per cell
E: -0.09258 hartree per atom
Excess energy over the best structure of this formula in the dataset: 2.273 kcal/mol of atoms

Geometry as CIF:
```
data_Sr2CaCl
_space_group_name_H-M_alt 'P 1'
_space_group_IT_number 1
_space_group_name_Hall 'P 1'
_cell_length_a 3.866
_cell_length_b 3.866
_cell_length_c 10.472
_cell_angle_alpha 90.00
_cell_angle_beta 90.00
_cell_angle_gamma 90.00
loop_
_atom_site_label
_atom_site_fract_x
_atom_site_fract_y
_atom_site_fract_z
Ca1 0.500 0.500 0.250
Sr1 0.000 0.000 0.963
Sr2 0.000 0.000 0.537
Cl1 0.500 0.500 0.750
```

The following is a DFT calculation (PBE-GGA) of a geometry-optimized Ac4NiPtCl2 structure.

Formation energy (no corrections): -1.185 eV per atom
Symmetry: No. 10
Size of the total moment: 0.000 μB/f.u.
DOS(E_F): 5.19 states/eV per cell
E: -0.19030 hartree per atom

Geometry as CIF:
```
data_Ac4NiPtCl2
_space_group_name_H-M_alt 'P 1'
_space_group_IT_number 1
_space_group_name_Hall 'P 1'
_cell_length_a 4.389
_cell_length_b 7.568
_cell_length_c 8.304
_cell_angle_alpha 107.72
_cell_angle_beta 90.00
_cell_angle_gamma 90.00
loop_
_atom_site_label
_atom_site_fract_x
_atom_site_fract_y
_atom_site_fract_z
Ac1 0.500 0.230 0.201
Cl1 0.000 0.500 0.500
Ni1 0.000 0.000 0.000
Pt1 0.500 0.500 0.000
Ac2 0.500 0.770 0.799
Cl2 0.500 0.000 0.500
Ac3 0.000 0.742 0.203
Ac4 0.000 0.258 0.797
```

The following is a DFT calculation (PBE-GGA) of a geometry-optimized Zn2Te structure.

Formation energy (no corrections): -0.022 eV per atom
Symmetry: No. 12
Size of the total moment: 0.000 μB/f.u.
DOS(E_F): 2.35 states/eV per cell
E: -0.07051 hartree per atom
Excess energy over the best structure of this formula in the dataset: 2.272 kcal/mol of atoms

Geometry as CIF:
```
data_Zn2Te
_space_group_name_H-M_alt 'P 1'
_space_group_IT_number 1
_space_group_name_Hall 'P 1'
_cell_length_a 5.931
_cell_length_b 5.931
_cell_length_c 7.429
_cell_angle_alpha 60.01
_cell_angle_beta 60.01
_cell_angle_gamma 38.67
loop_
_atom_site_label
_atom_site_fract_x
_atom_site_fract_y
_atom_site_fract_z
Te1 0.431 0.431 0.793
Zn1 0.152 0.152 0.620
Zn2 0.249 0.249 0.217
Te2 0.569 0.569 0.207
Zn3 0.751 0.751 0.783
Zn4 0.848 0.848 0.380
```

The following is a DFT calculation (PBE-GGA) of a geometry-optimized BaScAu3 structure.

Symmetry: No. 221
Size of the total moment: 1.196 μB/f.u.
DOS(E_F): 9.89 states/eV per cell
E_form: 3.34 eV per formula unit
E: -0.10836 hartree per atom
Excess energy over the best structure of this formula in the dataset: 25.675 kcal/mol of atoms

Geometry as CIF:
```
data_BaScAu3
_space_group_name_H-M_alt 'P 1'
_space_group_IT_number 1
_space_group_name_Hall 'P 1'
_cell_length_a 5.818
_cell_length_b 5.818
_cell_length_c 5.818
_cell_angle_alpha 90.00
_cell_angle_beta 90.00
_cell_angle_gamma 90.00
loop_
_atom_site_label
_atom_site_fract_x
_atom_site_fract_y
_atom_site_fract_z
Au1 0.000 0.500 0.000
Ba1 0.000 0.000 0.000
Au2 0.000 0.000 0.500
Au3 0.500 0.000 0.000
Sc1 0.500 0.500 0.500
```

The following is a DFT calculation (PBE-GGA) of a geometry-optimized Sc8Cu2Bi structure.

Symmetry: No. 12
Size of the total moment: 0.024 μB/f.u.
DOS(E_F): 19.40 states/eV per cell
E_form: -1.50 eV per formula unit
E: -0.21457 hartree per atom

Geometry as CIF:
```
data_Sc8Cu2Bi
_space_group_name_H-M_alt 'P 1'
_space_group_IT_number 1
_space_group_name_Hall 'P 1'
_cell_length_a 4.979
_cell_length_b 7.572
_cell_length_c 7.572
_cell_angle_alpha 113.96
_cell_angle_beta 98.52
_cell_angle_gamma 98.52
loop_
_atom_site_label
_atom_site_fract_x
_atom_site_fract_y
_atom_site_fract_z
Bi1 0.500 0.000 0.000
Sc1 0.906 0.663 0.916
Sc2 0.500 0.245 0.755
Sc3 0.094 0.084 0.337
Sc4 0.500 0.755 0.245
Cu1 0.000 0.695 0.305
Cu2 0.000 0.305 0.695
Sc5 0.906 0.916 0.663
Sc6 0.298 0.596 0.596
Sc7 0.702 0.404 0.404
Sc8 0.094 0.337 0.084
```

The following is a DFT calculation (PBE-GGA) of a geometry-optimized MnP2Pb structure.

Symmetry: No. 123
Size of the total moment: 3.973 μB/f.u.
DOS(E_F): 2.10 states/eV per cell
E_form: 2.13 eV per formula unit
E: -0.19811 hartree per atom

Geometry as CIF:
```
data_MnP2Pb
_space_group_name_H-M_alt 'P 1'
_space_group_IT_number 1
_space_group_name_Hall 'P 1'
_cell_length_a 3.472
_cell_length_b 4.723
_cell_length_c 4.723
_cell_angle_alpha 90.00
_cell_angle_beta 90.00
_cell_angle_gamma 90.00
loop_
_atom_site_label
_atom_site_fract_x
_atom_site_fract_y
_atom_site_fract_z
Pb1 0.500 0.500 0.000
P1 0.000 0.500 0.500
Mn1 0.500 0.000 0.500
P2 0.000 0.000 0.000
```

The following is a DFT calculation (PBE-GGA) of a geometry-optimized YTaZn2 structure.

Symmetry: No. 12
Size of the total moment: 0.002 μB/f.u.
DOS(E_F): 4.09 states/eV per cell
E_form: 0.68 eV per formula unit
E: -0.18545 hartree per atom
Excess energy over the best structure of this formula in the dataset: 4.649 kcal/mol of atoms

Geometry as CIF:
```
data_YTaZn2
_space_group_name_H-M_alt 'P 1'
_space_group_IT_number 1
_space_group_name_Hall 'P 1'
_cell_length_a 4.818
_cell_length_b 4.818
_cell_length_c 5.785
_cell_angle_alpha 80.12
_cell_angle_beta 80.12
_cell_angle_gamma 38.15
loop_
_atom_site_label
_atom_site_fract_x
_atom_site_fract_y
_atom_site_fract_z
Ta1 0.750 0.750 0.750
Y1 0.250 0.250 0.250
Zn1 0.007 0.007 0.946
Zn2 0.493 0.493 0.554
```

The following is a DFT calculation (PBE-GGA) of a geometry-optimized GaHAu2O structure.

Symmetry: No. 123
Size of the total moment: 0.000 μB/f.u.
DOS(E_F): 0.90 states/eV per cell
E: -0.10966 hartree per atom

Geometry as CIF:
```
data_GaHAu2O
_space_group_name_H-M_alt 'P 1'
_space_group_IT_number 1
_space_group_name_Hall 'P 1'
_cell_length_a 4.469
_cell_length_b 4.350
_cell_length_c 4.469
_cell_angle_alpha 90.00
_cell_angle_beta 90.00
_cell_angle_gamma 90.00
loop_
_atom_site_label
_atom_site_fract_x
_atom_site_fract_y
_atom_site_fract_z
H1 0.500 0.500 0.500
O1 0.000 0.000 0.000
Ga1 0.000 0.500 0.000
Au1 0.000 0.000 0.500
Au2 0.500 0.000 0.000
```

The following is a DFT calculation (PBE-GGA) of a geometry-optimized CaTiH2 structure.

Symmetry: No. 122
Size of the total moment: 0.967 μB/f.u.
DOS(E_F): 3.44 states/eV per cell
E: -0.15761 hartree per atom
Excess energy over the best structure of this formula in the dataset: 0.000 kcal/mol of atoms

Geometry as CIF:
```
data_CaTiH2
_space_group_name_H-M_alt 'P 1'
_space_group_IT_number 1
_space_group_name_Hall 'P 1'
_cell_length_a 5.154
_cell_length_b 5.154
_cell_length_c 5.475
_cell_angle_alpha 61.92
_cell_angle_beta 61.92
_cell_angle_gamma 90.00
loop_
_atom_site_label
_atom_site_fract_x
_atom_site_fract_y
_atom_site_fract_z
H1 0.375 0.304 0.750
H2 0.875 0.946 0.750
H3 0.696 0.125 0.250
Ti1 0.000 0.000 0.000
Ca1 0.250 0.750 0.500
Ti2 0.750 0.250 0.500
Ca2 0.500 0.500 0.000
H4 0.054 0.625 0.250
```

The following is a DFT calculation (PBE-GGA) of a geometry-optimized Li3Mg3Al structure.

Symmetry: No. 176
Size of the total moment: 0.000 μB/f.u.
DOS(E_F): 6.48 states/eV per cell
E_form: -0.41 eV per formula unit
E: -0.07706 hartree per atom
Excess energy over the best structure of this formula in the dataset: 0.000 kcal/mol of atoms

Geometry as CIF:
```
data_Li3Mg3Al
_space_group_name_H-M_alt 'P 1'
_space_group_IT_number 1
_space_group_name_Hall 'P 1'
_cell_length_a 4.905
_cell_length_b 8.055
_cell_length_c 8.055
_cell_angle_alpha 120.00
_cell_angle_beta 90.00
_cell_angle_gamma 90.00
loop_
_atom_site_label
_atom_site_fract_x
_atom_site_fract_y
_atom_site_fract_z
Mg1 0.250 0.811 0.742
Al1 0.750 0.333 0.667
Li1 0.750 0.611 0.508
Li2 0.250 0.103 0.611
Li3 0.750 0.492 0.103
Li4 0.250 0.389 0.492
Mg2 0.250 0.258 0.069
Li5 0.250 0.508 0.897
Mg3 0.250 0.931 0.189
Mg4 0.750 0.742 0.931
Mg5 0.750 0.069 0.811
Mg6 0.750 0.189 0.258
Al2 0.250 0.667 0.333
Li6 0.750 0.897 0.389
```

The following is a DFT calculation (PBE-GGA) of a geometry-optimized LiPuBi structure.

Symmetry: No. 194
Size of the total moment: 5.976 μB/f.u.
DOS(E_F): 18.69 states/eV per cell
E_form: -1.31 eV per formula unit
E: -0.26255 hartree per atom
Excess energy over the best structure of this formula in the dataset: 0.000 kcal/mol of atoms

Geometry as CIF:
```
data_LiPuBi
_space_group_name_H-M_alt 'P 1'
_space_group_IT_number 1
_space_group_name_Hall 'P 1'
_cell_length_a 4.964
_cell_length_b 4.964
_cell_length_c 7.016
_cell_angle_alpha 90.00
_cell_angle_beta 90.00
_cell_angle_gamma 119.99
loop_
_atom_site_label
_atom_site_fract_x
_atom_site_fract_y
_atom_site_fract_z
Pu1 0.000 0.500 0.500
Li1 0.333 0.167 0.750
Bi1 0.667 0.833 0.750
Bi2 0.333 0.167 0.250
Pu2 0.000 0.500 0.000
Li2 0.667 0.833 0.250
```

The following is a DFT calculation (PBE-GGA) of a geometry-optimized HfBe2ZnCu structure.

Symmetry: No. 123
Size of the total moment: 0.216 μB/f.u.
DOS(E_F): 5.06 states/eV per cell
E_form: 8.80 eV per formula unit
E: -0.10269 hartree per atom

Geometry as CIF:
```
data_HfBe2ZnCu
_space_group_name_H-M_alt 'P 1'
_space_group_IT_number 1
_space_group_name_Hall 'P 1'
_cell_length_a 4.711
_cell_length_b 5.145
_cell_length_c 4.711
_cell_angle_alpha 90.00
_cell_angle_beta 90.00
_cell_angle_gamma 90.00
loop_
_atom_site_label
_atom_site_fract_x
_atom_site_fract_y
_atom_site_fract_z
Be1 0.000 0.000 0.500
Hf1 0.000 0.000 0.000
Zn1 0.000 0.500 0.000
Cu1 0.500 0.500 0.500
Be2 0.500 0.000 0.000
```

The following is a DFT calculation (PBE-GGA) of a geometry-optimized ZrOsAu structure.

Symmetry: No. 107
Size of the total moment: 0.000 μB/f.u.
DOS(E_F): 3.00 states/eV per cell
E_form: -0.32 eV per formula unit
E: -0.28640 hartree per atom
Excess energy over the best structure of this formula in the dataset: 0.000 kcal/mol of atoms

Geometry as CIF:
```
data_ZrOsAu
_space_group_name_H-M_alt 'P 1'
_space_group_IT_number 1
_space_group_name_Hall 'P 1'
_cell_length_a 5.254
_cell_length_b 5.254
_cell_length_c 3.415
_cell_angle_alpha 71.04
_cell_angle_beta 71.04
_cell_angle_gamma 37.93
loop_
_atom_site_label
_atom_site_fract_x
_atom_site_fract_y
_atom_site_fract_z
Au1 0.000 0.000 0.000
Os1 0.323 0.323 0.677
Zr1 0.678 0.678 0.322
```

The following is a DFT calculation (PBE-GGA) of a geometry-optimized Ti8H2N structure.

Symmetry: No. 147
Size of the total moment: 0.000 μB/f.u.
DOS(E_F): 11.55 states/eV per cell
E: -0.27796 hartree per atom

Geometry as CIF:
```
data_Ti8H2N
_space_group_name_H-M_alt 'P 1'
_space_group_IT_number 1
_space_group_name_Hall 'P 1'
_cell_length_a 4.837
_cell_length_b 5.966
_cell_length_c 5.966
_cell_angle_alpha 120.00
_cell_angle_beta 90.00
_cell_angle_gamma 90.00
loop_
_atom_site_label
_atom_site_fract_x
_atom_site_fract_y
_atom_site_fract_z
N1 0.000 0.000 0.000
H1 0.636 0.667 0.333
Ti1 0.249 0.163 0.839
Ti2 0.249 0.677 0.837
Ti3 0.752 0.839 0.677
Ti4 0.249 0.667 0.333
Ti5 0.751 0.837 0.161
Ti6 0.751 0.333 0.667
H2 0.364 0.333 0.667
Ti7 0.248 0.161 0.323
Ti8 0.751 0.323 0.163
```

The following is a DFT calculation (PBE-GGA) of a geometry-optimized AlFeTe2 structure.

Formation energy (no corrections): 0.123 eV per atom
Symmetry: No. 122
Size of the total moment: 0.000 μB/f.u.
DOS(E_F): 7.81 states/eV per cell
E: -0.16535 hartree per atom

Geometry as CIF:
```
data_AlFeTe2
_space_group_name_H-M_alt 'P 1'
_space_group_IT_number 1
_space_group_name_Hall 'P 1'
_cell_length_a 5.974
_cell_length_b 5.974
_cell_length_c 7.291
_cell_angle_alpha 65.81
_cell_angle_beta 65.81
_cell_angle_gamma 90.00
loop_
_atom_site_label
_atom_site_fract_x
_atom_site_fract_y
_atom_site_fract_z
Te1 0.658 0.125 0.250
Al1 0.250 0.750 0.500
Te2 0.092 0.625 0.250
Te3 0.875 0.908 0.750
Fe1 0.000 0.000 0.000
Al2 0.500 0.500 0.000
Fe2 0.750 0.250 0.500
Te4 0.375 0.342 0.750
```

The following is a DFT calculation (PBE-GGA) of a geometry-optimized Rb2LiTbCl6 structure.

Formation energy (no corrections): -2.097 eV per atom
Symmetry: No. 225
Size of the total moment: 0.000 μB/f.u.
DOS(E_F): 0.00 states/eV per cell
E: -0.14893 hartree per atom

Geometry as CIF:
```
data_Rb2LiTbCl6
_space_group_name_H-M_alt 'P 1'
_space_group_IT_number 1
_space_group_name_Hall 'P 1'
_cell_length_a 7.419
_cell_length_b 7.419
_cell_length_c 7.419
_cell_angle_alpha 60.00
_cell_angle_beta 60.00
_cell_angle_gamma 60.00
loop_
_atom_site_label
_atom_site_fract_x
_atom_site_fract_y
_atom_site_fract_z
Cl1 0.252 0.748 0.748
Cl2 0.748 0.252 0.252
Cl3 0.748 0.252 0.748
Rb1 0.250 0.250 0.250
Cl4 0.748 0.748 0.252
Li1 0.500 0.500 0.500
Tb1 0.000 0.000 0.000
Rb2 0.750 0.750 0.750
Cl5 0.252 0.252 0.748
Cl6 0.252 0.748 0.252
```